No. 1
! PBE SbTe6Au, optimized geometry; values from VASP
! * final energy: -0.2333 Ry per atom
! * uncorrected formation energy: 0.11 eV per atom
&SYSTEM
  ibrav = 0, nat = 8, ntyp = 3
/
ATOMIC_SPECIES
Sb 121.76 Sb.upf
Te 127.60 Te.upf
Au 196.97 Au.upf
CELL_PARAMETERS angstrom
6.595 0.000 0.000
2.550 6.085 0.000
2.369 2.046 6.349
ATOMIC_POSITIONS crystal
Sb 0.000 0.000 0.000
Te 0.049 0.717 0.472
Te 0.308 0.518 0.943
Te 0.459 0.062 0.690
Te 0.541 0.938 0.310
Te 0.692 0.482 0.057
Te 0.951 0.283 0.528
Au 0.500 0.500 0.500

No. 2
! PBE SbTe2Au2, optimized geometry; values from VASP
! * E above lowest polymorph: 209 meV per atom
! * final energy: -0.2355 Ry per atom
! * uncorrected formation energy: 0.19 eV per atom
&SYSTEM
  ibrav = 0, nat = 10, ntyp = 3
/
ATOMIC_SPECIES
Sb 121.76 Sb.upf
Te 127.60 Te.upf
Au 196.97 Au.upf
CELL_PARAMETERS angstrom
8.349 0.000 0.000
0.000 8.349 0.000
0.000 0.000 3.708
ATOMIC_POSITIONS crystal
Sb 0.000 0.000 0.000
Sb 0.500 0.500 0.000
Te 0.196 0.304 0.000
Te 0.304 0.804 0.000
Te 0.696 0.196 0.000
Te 0.804 0.696 0.000
Au 0.117 0.617 0.500
Au 0.383 0.117 0.500
Au 0.617 0.883 0.500
Au 0.883 0.383 0.500

No. 3
! PBE SbTe2Au2, optimized geometry; values from VASP
! * E above lowest polymorph: 385 meV per atom
! * final energy: -0.2226 Ry per atom
! * uncorrected formation energy: 0.36 eV per atom
&SYSTEM
  ibrav = 0, nat = 5, ntyp = 3
/
ATOMIC_SPECIES
Sb 121.76 Sb.upf
Te 127.60 Te.upf
Au 196.97 Au.upf
CELL_PARAMETERS angstrom
-2.319 2.319 6.134
2.319 -2.319 6.134
2.319 2.319 -6.134
ATOMIC_POSITIONS crystal
Sb 0.000 0.000 0.000
Te 0.250 0.750 0.500
Te 0.750 0.250 0.500
Au 0.392 0.392 0.000
Au 0.608 0.608 0.000

No. 4
! PBE Sb2TeAu2, optimized geometry; values from VASP
! * E above lowest polymorph: 0 meV per atom
! * final energy: -0.2664 Ry per atom
! * uncorrected formation energy: -0.04 eV per atom
&SYSTEM
  ibrav = 0, nat = 10, ntyp = 3
/
ATOMIC_SPECIES
Sb 121.76 Sb.upf
Te 127.60 Te.upf
Au 196.97 Au.upf
CELL_PARAMETERS angstrom
2.148 -7.975 0.000
2.148 7.975 0.000
0.000 0.000 7.711
ATOMIC_POSITIONS crystal
Sb 0.076 0.924 0.500
Sb 0.256 0.744 0.859
Sb 0.744 0.256 0.359
Sb 0.924 0.076 0.000
Te 0.425 0.575 0.495
Te 0.575 0.425 0.995
Au 0.155 0.845 0.184
Au 0.345 0.655 0.175
Au 0.655 0.345 0.675
Au 0.845 0.155 0.684

No. 5
! PBE Sb3TeAu, optimized geometry; values from VASP
! * E above lowest polymorph: 0 meV per atom
! * final energy: -0.2761 Ry per atom
! * uncorrected formation energy: 0.00 eV per atom
&SYSTEM
  ibrav = 0, nat = 20, ntyp = 3
/
ATOMIC_SPECIES
Sb 121.76 Sb.upf
Te 127.60 Te.upf
Au 196.97 Au.upf
CELL_PARAMETERS angstrom
5.079 -8.259 0.000
5.079 8.259 0.000
-0.118 0.000 7.105
ATOMIC_POSITIONS crystal
Sb 0.039 0.653 0.932
Sb 0.146 0.500 0.407
Sb 0.275 0.402 0.902
Sb 0.347 0.961 0.568
Sb 0.402 0.275 0.402
Sb 0.500 0.146 0.907
Sb 0.500 0.854 0.093
Sb 0.598 0.725 0.598
Sb 0.653 0.039 0.432
Sb 0.725 0.598 0.098
Sb 0.854 0.500 0.593
Sb 0.961 0.347 0.068
Te 0.077 0.208 0.569
Te 0.208 0.077 0.069
Te 0.792 0.923 0.931
Te 0.923 0.792 0.431
Au 0.312 0.688 0.750
Au 0.438 0.562 0.250
Au 0.562 0.438 0.750
Au 0.688 0.312 0.250

No. 6
! PBE Sb2Te4Au, optimized geometry; values from VASP
! * final energy: -0.2515 Ry per atom
! * uncorrected formation energy: 0.02 eV per atom
&SYSTEM
  ibrav = 0, nat = 14, ntyp = 3
/
ATOMIC_SPECIES
Sb 121.76 Sb.upf
Te 127.60 Te.upf
Au 196.97 Au.upf
CELL_PARAMETERS angstrom
7.848 0.000 0.000
0.000 12.587 0.000
0.000 0.000 4.440
ATOMIC_POSITIONS crystal
Sb 0.084 0.166 0.000
Sb 0.416 0.666 0.000
Sb 0.584 0.334 0.000
Sb 0.916 0.834 0.000
Te 0.133 0.699 0.500
Te 0.248 0.452 0.000
Te 0.252 0.952 0.000
Te 0.367 0.199 0.500
Te 0.633 0.801 0.500
Te 0.748 0.048 0.000
Te 0.752 0.548 0.000
Te 0.867 0.301 0.500
Au 0.000 0.500 0.500
Au 0.500 0.000 0.500

No. 7
! PBE Sb3Te12Au5, optimized geometry; values from VASP
! * final energy: -0.2368 Ry per atom
! * uncorrected formation energy: 0.10 eV per atom
&SYSTEM
  ibrav = 0, nat = 80, ntyp = 3
/
ATOMIC_SPECIES
Sb 121.76 Sb.upf
Te 127.60 Te.upf
Au 196.97 Au.upf
CELL_PARAMETERS angstrom
-8.607 8.607 8.607
8.607 -8.607 8.607
8.607 8.607 -8.607
ATOMIC_POSITIONS crystal
Sb 0.125 0.250 0.375
Sb 0.125 0.375 0.750
Sb 0.250 0.375 0.125
Sb 0.250 0.875 0.625
Sb 0.375 0.125 0.250
Sb 0.375 0.750 0.125
Sb 0.625 0.250 0.875
Sb 0.625 0.875 0.750
Sb 0.750 0.125 0.375
Sb 0.750 0.625 0.875
Sb 0.875 0.625 0.250
Sb 0.875 0.750 0.625
Te 0.040 0.213 0.128
Te 0.040 0.328 0.912
Te 0.084 0.713 0.672
Te 0.084 0.872 0.412
Te 0.088 0.628 0.416
Te 0.088 0.960 0.672
Te 0.128 0.040 0.213
Te 0.128 0.588 0.916
Te 0.172 0.213 0.584
Te 0.172 0.460 0.588
Te 0.213 0.128 0.040
Te 0.213 0.584 0.172
Te 0.287 0.328 0.916
Te 0.287 0.460 0.372
Te 0.328 0.912 0.040
Te 0.328 0.916 0.287
Te 0.372 0.287 0.460
Te 0.372 0.584 0.912
Te 0.412 0.084 0.872
Te 0.412 0.828 0.540
Te 0.416 0.088 0.628
Te 0.416 0.828 0.787
Te 0.460 0.372 0.287
Te 0.460 0.588 0.172
Te 0.540 0.412 0.828
Te 0.540 0.628 0.713
Te 0.584 0.172 0.213
Te 0.584 0.912 0.372
Te 0.588 0.172 0.460
Te 0.588 0.916 0.128
Te 0.628 0.416 0.088
Te 0.628 0.713 0.540
Te 0.672 0.084 0.713
Te 0.672 0.088 0.960
Te 0.713 0.540 0.628
Te 0.713 0.672 0.084
Te 0.787 0.416 0.828
Te 0.787 0.872 0.960
Te 0.828 0.540 0.412
Te 0.828 0.787 0.416
Te 0.872 0.412 0.084
Te 0.872 0.960 0.787
Te 0.912 0.040 0.328
Te 0.912 0.372 0.584
Te 0.916 0.128 0.588
Te 0.916 0.287 0.328
Te 0.960 0.672 0.088
Te 0.960 0.787 0.872
Au 0.000 0.000 0.000
Au 0.000 0.000 0.500
Au 0.000 0.500 0.000
Au 0.000 0.500 0.500
Au 0.125 0.750 0.875
Au 0.125 0.875 0.250
Au 0.250 0.125 0.875
Au 0.250 0.625 0.375
Au 0.375 0.250 0.625
Au 0.375 0.625 0.750
Au 0.500 0.000 0.000
Au 0.500 0.000 0.500
Au 0.500 0.500 0.000
Au 0.500 0.500 0.500
Au 0.625 0.375 0.250
Au 0.625 0.750 0.375
Au 0.750 0.375 0.625
Au 0.750 0.875 0.125
Au 0.875 0.125 0.750
Au 0.875 0.250 0.125

No. 8
! PBE Sb2TeAu2, optimized geometry; values from VASP
! * E above lowest polymorph: 165 meV per atom
! * final energy: -0.2543 Ry per atom
! * uncorrected formation energy: 0.13 eV per atom
&SYSTEM
  ibrav = 0, nat = 10, ntyp = 3
/
ATOMIC_SPECIES
Sb 121.76 Sb.upf
Te 127.60 Te.upf
Au 196.97 Au.upf
CELL_PARAMETERS angstrom
7.861 0.000 0.000
0.000 7.861 0.000
0.000 0.000 3.891
ATOMIC_POSITIONS crystal
Sb 0.164 0.336 0.000
Sb 0.336 0.836 0.000
Sb 0.664 0.164 0.000
Sb 0.836 0.664 0.000
Te 0.000 0.000 0.500
Te 0.500 0.500 0.500
Au 0.131 0.631 0.500
Au 0.369 0.131 0.500
Au 0.631 0.869 0.500
Au 0.869 0.369 0.500